*A*
Material: Pr2YO
Method: DFT, GGA-PBE
State: optimized geometry

CIF file:
```
data_Pr2YO
_cell_length_a 3.287
_cell_length_b 3.287
_cell_length_c 9.215
_cell_angle_alpha 90.00
_cell_angle_beta 90.00
_cell_angle_gamma 90.00
_space_group_name_H-M_alt 'P 4/m m m'
_space_group_IT_number 123
_space_group_name_Hall '-P 4 2'
loop_
_atom_site_label
_atom_site_fract_x
_atom_site_fract_y
_atom_site_fract_z
Pr1 0.000 0.000 0.171
Y1 0.500 0.500 0.500
O1 0.500 0.500 0.000
```

## Properties
Spin magnetization, μB/f.u.: 0.000
Fermi-level density of states, states/eV/cell: 5.2
Crystal system: tetragonal
ρ, g/cm3: 6.449

*B*
Material: Pr2YO
Method: DFT, GGA-PBE
State: optimized geometry

CIF file:
```
data_Pr2YO
_cell_length_a 3.6765
_cell_length_b 3.6765
_cell_length_c 28.0877
_cell_angle_alpha 90.00
_cell_angle_beta 90.00
_cell_angle_gamma 120.00
_space_group_name_H-M_alt 'R -3 m'
_space_group_IT_number 166
_space_group_name_Hall '-R 3 2"'
loop_
_atom_site_label
_atom_site_fract_x
_atom_site_fract_y
_atom_site_fract_z
Pr1 0.0000 0.0000 0.1182
Y1 0.0000 0.0000 0.0000
O1 0.0000 0.0000 0.5000
```

## Properties
Spin magnetization, μB/f.u.: 0.000
Fermi-level density of states, states/eV/cell: 12.6
Crystal system: trigonal
ρ, g/cm3: 5.859

Stability check: which of them is most stable? *B*.